A relaxed HfZrSCl2 crystal. Source: the Alexandria database, functional GGA-PBE.

Structure (extended XYZ):
```
5
Lattice="4.935 0.000 0.000 0.000 4.935 0.000 0.000 0.000 5.075" Properties=species:S:1:pos:R:3 pbc="T T T"
Hf 0.000 0.000 0.000
Zr 2.467 2.467 2.537
S 2.467 2.467 0.000
Cl 0.000 2.467 2.537
Cl 2.467 0.000 2.537
```

Summary:
space group = P4/mmm
total DFT energy (no corrections) = -5.483 eV per atom
formation energy (no corrections) = -0.22 eV/atom
relative energy among the computed polymorphs = 167 meV per atom